1.
TlCd2SnHg: relaxed, PBE.

Output
ΔE_f in kJ/mol of atoms: 2.61

Lattice parameters (Å, degrees): 8.252 3.491 10.100 90.00 114.05 90.00
Space group P2_1/m (No. 11)
Inequivalent atoms, fractional coordinates:
Tl (0.089, 0.250, 0.174) x2
Cd (0.219, 0.250, 0.744) x2
Cd (0.482, 0.750, 0.368) x2
Sn (0.360, 0.750, 0.034) x2
Hg (0.170, 0.750, 0.477) x2

2.
Na2BiPb2: relaxed, PBE.

Output
ΔE_f in kJ/mol of atoms: -7.88
Energy relative to the lowest polymorph listed for this composition in meV per atom: 63

Lattice parameters (Å, degrees): 8.963 8.963 3.695 90.00 90.00 90.00
Space group P4/mbm (No. 127)
Inequivalent atoms, fractional coordinates:
Na (0.174, 0.326, 0.000) x4
Bi (0.000, 0.000, 0.500) x2
Pb (0.127, 0.627, 0.500) x4

3.
Y3ZrF: relaxed, PBE.

Output
Raw formation energy in eV per atom: -0.864
Energy relative to the lowest polymorph listed for this composition in meV per atom: 0

Lattice parameters (Å, degrees): 4.936 4.936 4.936 90.00 90.00 90.00
Space group Pm-3m (No. 221)
Inequivalent atoms, fractional coordinates:
Y (0.000, 0.000, 0.500) x3
Zr (0.500, 0.500, 0.500) x1
F (0.000, 0.000, 0.000) x1

4.
Tb4Si2Hg: relaxed, PBE.

Output
Raw formation energy in eV per atom: -0.442

Lattice parameters (Å, degrees): 4.4673 4.4673 33.6081 90.00 90.00 120.00
Space group R-3m (No. 166, hexagonal axes)
Inequivalent atoms, fractional coordinates:
Tb (0.0000, 0.0000, 0.1116) x6
Tb (0.0000, 0.0000, 0.3003) x6
Si (0.0000, 0.0000, 0.4008) x6
Hg (0.0000, 0.0000, 0.5000) x3

5.
Ce5Ga3Tc: relaxed, PBE.

Output
ΔE_f in kJ/mol of atoms: -30.45

Lattice parameters (Å, degrees): 9.1952 9.1952 5.9898 90.00 90.00 120.00
Space group P6_3/mcm (No. 193)
Inequivalent atoms, fractional coordinates:
Ce (0.0000, 0.2568, 0.2500) x6
Ce (0.3333, 0.6667, 0.0000) x4
Ga (0.0000, 0.3977, 0.7500) x6
Tc (0.0000, 0.0000, 0.0000) x2

6.
Ac2BiSe: relaxed, PBE.

Output
Raw formation energy in eV per atom: -0.840
Energy relative to the lowest polymorph listed for this composition in meV per atom: 576

Lattice parameters (Å, degrees): 4.9964 4.9964 28.1379 90.00 90.00 120.00
Space group R-3m (No. 166, hexagonal axes)
Inequivalent atoms, fractional coordinates:
Ac (0.0000, 0.0000, 0.1010) x6
Bi (0.0000, 0.0000, 0.5000) x3
Se (0.0000, 0.0000, 0.0000) x3

7.
Tl5In12Hg3: relaxed, PBE.

Output
ΔE_f in kJ/mol of atoms: 17.44

Lattice parameters (Å, degrees): 17.490 17.490 17.490 90.00 90.00 90.00
Space group Ia-3d (No. 230)
Inequivalent atoms, fractional coordinates:
Tl (0.000, 0.000, 0.000) x16
Tl (0.000, 0.250, 0.375) x24
In (0.014, 0.084, 0.651) x96
Hg (0.000, 0.250, 0.125) x24

8.
Pu2CuGe6Pd: relaxed, PBE.

Output
ΔE_f in kJ/mol of atoms: -15.88

Lattice parameters (Å, degrees): 6.1202 6.1202 38.7724 90.00 90.00 120.00
Space group R-3m (No. 166, hexagonal axes)
Inequivalent atoms, fractional coordinates:
Pu (0.0000, 0.0000, 0.1280) x6
Pu (0.0000, 0.0000, 0.2779) x6
Cu (0.0000, 0.0000, 0.0000) x3
Cu (0.0000, 0.0000, 0.5000) x3
Ge (0.0433, 0.5217, 0.7179) x18
Ge (0.0579, 0.5290, 0.8698) x18
Pd (0.0000, 0.0000, 0.4263) x6